{
  "formula": "LiSnAu2",
  "functional": "PBE-GGA",
  "state": "optimized geometry",
  "spacegroup": "No. 65",
  "lattice_angstrom": [[-6.0983, 1.0564, 0.7685], [-0.8274, -0.3143, -6.1334], [-1.2439, -7.5858, 0.5565]],
  "species": ["Li", "Li", "Li", "Li", "Sn", "Sn", "Sn", "Sn", "Au", "Au", "Au", "Au", "Au", "Au", "Au", "Au"],
  "fractional_positions": [[0.2501, 0.7500, 0.5001], [0.7499, 0.2500, 0.4999], [0.7501, 0.2500, 0.0000], [0.2499, 0.7500, 0.0000], [0.2500, 0.2500, 0.0000], [0.2500, 0.2500, 0.5000], [0.7500, 0.7500, 0.5000], [0.7500, 0.7500, 0.0000], [0.5000, 0.0000, 0.2500], [0.0000, 0.0000, 0.2500], [0.5000, 0.0000, 0.7500], [0.0000, 0.5000, 0.7500], [0.5000, 0.5000, 0.2500], [0.0000, 0.5000, 0.2500], [0.0000, 0.0000, 0.7500], [0.5000, 0.5000, 0.7500]]
}


{
  "formula": "ScTlCd",
  "functional": "PBE-GGA",
  "state": "optimized geometry",
  "spacegroup": "No. 216",
  "lattice_angstrom": [[0.0000, 3.3849, 3.3849], [3.3849, 0.0000, 3.3849], [3.3849, 3.3849, 0.0000]],
  "species": ["Cd", "Tl", "Sc"],
  "fractional_positions": [[0.2500, 0.2500, 0.2500], [0.0000, 0.0000, 0.0000], [0.7500, 0.7500, 0.7500]]
}


{
  "formula": "KAgO3",
  "functional": "PBE-GGA",
  "state": "optimized geometry",
  "spacegroup": "No. 167",
  "lattice_angstrom": [[2.9264, -1.6895, -4.5904], [-2.9264, -1.6895, -4.5904], [0.0000, 3.3791, -4.5904]],
  "species": ["O", "O", "O", "O", "O", "O", "Ag", "Ag", "K", "K"],
  "fractional_positions": [[0.8077, 0.2500, 0.6923], [0.7500, 0.3077, 0.1923], [0.6923, 0.8077, 0.2500], [0.2500, 0.6923, 0.8077], [0.3077, 0.1923, 0.7500], [0.1923, 0.7500, 0.3077], [0.0000, 0.0000, 0.0000], [0.5000, 0.5000, 0.5000], [0.2500, 0.2500, 0.2500], [0.7500, 0.7500, 0.7500]]
}


{
  "formula": "Li2Dy",
  "functional": "PBE-GGA",
  "state": "optimized geometry",
  "spacegroup": "No. 227",
  "lattice_angstrom": [[-2.2282, -5.1864, 0.8564], [-5.2362, -1.2111, -1.9268], [-0.6667, -3.5819, -4.3957]],
  "species": ["Dy", "Dy", "Li", "Li", "Li", "Li"],
  "fractional_positions": [[0.0000, 0.0000, 0.0000], [0.2500, 0.2500, 0.2500], [0.6250, 0.1250, 0.6250], [0.1250, 0.6250, 0.6250], [0.6250, 0.6250, 0.1250], [0.6250, 0.6250, 0.6250]]
}


{
  "formula": "SmHo2Al7Cu2",
  "functional": "PBE-GGA",
  "state": "optimized geometry",
  "spacegroup": "No. 166",
  "lattice_angstrom": [[2.7455, 1.5851, 8.4900], [-2.7455, 1.5851, 8.4900], [0.0000, -3.1703, 8.4900]],
  "species": ["Al", "Al", "Al", "Al", "Al", "Al", "Al", "Cu", "Cu", "Ho", "Ho", "Sm"],
  "fractional_positions": [[0.5000, 0.5000, 0.5000], [0.5823, 0.5823, 0.0730], [0.4177, 0.9270, 0.4177], [0.4177, 0.4177, 0.9270], [0.5823, 0.0730, 0.5823], [0.9270, 0.4177, 0.4177], [0.0730, 0.5823, 0.5823], [0.6648, 0.6648, 0.6648], [0.3352, 0.3352, 0.3352], [0.8580, 0.8580, 0.8580], [0.1420, 0.1420, 0.1420], [0.0000, 0.0000, 0.0000]]
}


{
  "formula": "PPbAuO",
  "functional": "PBE-GGA",
  "state": "optimized geometry",
  "spacegroup": "No. 129",
  "lattice_angstrom": [[4.1962, 0.0000, 0.0000], [0.0000, 4.1962, 0.0000], [0.0000, 0.0000, 9.3273]],
  "species": ["O", "O", "P", "P", "Au", "Au", "Pb", "Pb"],
  "fractional_positions": [[0.5000, 0.5000, 0.0000], [0.0000, 0.0000, 0.0000], [0.0000, 0.5000, 0.6431], [0.5000, 0.0000, 0.3569], [0.5000, 0.5000, 0.5000], [0.0000, 0.0000, 0.5000], [0.5000, 0.0000, 0.8789], [0.0000, 0.5000, 0.1211]]
}


{
  "formula": "ZrCuHgAs",
  "functional": "PBE-GGA",
  "state": "optimized geometry",
  "spacegroup": "No. 216",
  "lattice_angstrom": [[1.6113, 0.5304, 4.4811], [-2.7243, -1.3545, 3.7016], [1.2097, -3.8504, 2.5825]],
  "species": ["Zr", "Cu", "As", "Hg"],
  "fractional_positions": [[0.5000, 0.5000, 0.5000], [0.7500, 0.7500, 0.7500], [0.0000, 0.0000, 0.0000], [0.2500, 0.2500, 0.2500]]
}


{
  "formula": "Li2Ta2Se3S",
  "functional": "PBE-GGA",
  "state": "optimized geometry",
  "spacegroup": "No. 156",
  "lattice_angstrom": [[-0.8341, 1.9802, -2.7157], [-2.4925, -1.3497, 1.9893], [0.3542, 10.9069, 7.8442]],
  "species": ["Se", "Se", "Se", "Li", "Li", "Ta", "Ta", "S"],
  "fractional_positions": [[0.0000, 0.0000, 0.6315], [0.6667, 0.3333, 0.1233], [0.6667, 0.3333, 0.3745], [0.3333, 0.6667, 0.5012], [0.3333, 0.6667, 0.9911], [0.3333, 0.6667, 0.2488], [0.3333, 0.6667, 0.7576], [0.0000, 0.0000, 0.8721]]
}


{
  "formula": "PrPtAu",
  "functional": "PBE-GGA",
  "state": "optimized geometry",
  "formation_enthalpy_0k_ev_per_atom": -0.789,
  "spacegroup": "No. 216",
  "lattice_angstrom": [[0.0000, 3.3553, 3.3553], [3.3553, 0.0000, 3.3553], [3.3553, 3.3553, 0.0000]],
  "species": ["Pt", "Pr", "Au"],
  "fractional_positions": [[0.0000, 0.0000, 0.0000], [0.7500, 0.7500, 0.7500], [0.2500, 0.2500, 0.2500]]
}


{
  "formula": "Zr2HgMo2",
  "functional": "PBE-GGA",
  "state": "optimized geometry",
  "formation_enthalpy_0k_ev_per_atom": 0.577,
  "spacegroup": "No. 139",
  "lattice_angstrom": [[2.0759, -6.2158, -2.8243], [1.1184, -6.5680, 2.5558], [-4.2100, 5.7497, -0.3728]],
  "species": ["Mo", "Mo", "Hg", "Zr", "Zr"],
  "fractional_positions": [[0.7500, 0.2500, 0.5000], [0.2500, 0.7500, 0.5000], [0.0000, 0.0000, 0.0000], [0.4025, 0.4025, 0.0000], [0.5975, 0.5975, 0.0000]]
}


{
  "formula": "BaErHgAs2",
  "functional": "PBE-GGA",
  "state": "optimized geometry",
  "spacegroup": "No. 36",
  "lattice_angstrom": [[2.1289, -9.1063, 0.0000], [2.1289, 9.1063, 0.0000], [0.0000, 0.0000, 7.2973]],
  "species": ["Er", "Er", "As", "As", "As", "As", "Ba", "Ba", "Hg", "Hg"],
  "fractional_positions": [[0.5226, 0.4774, 0.2436], [0.4774, 0.5226, 0.7436], [0.9592, 0.0407, 0.0190], [0.6690, 0.3310, 0.1100], [0.0407, 0.9592, 0.5190], [0.3310, 0.6690, 0.6100], [0.6941, 0.3058, 0.5738], [0.3058, 0.6941, 0.0738], [0.1106, 0.8894, 0.9192], [0.8894, 0.1106, 0.4192]]
}


{
  "formula": "ErCuSnTeS2",
  "functional": "PBE-GGA",
  "state": "optimized geometry",
  "spacegroup": "No. 63",
  "lattice_angstrom": [[1.9887, -6.8161, 0.0000], [1.9887, 6.8161, 0.0000], [0.0000, 0.0000, 10.8851]],
  "species": ["Er", "Er", "S", "S", "S", "S", "Te", "Te", "Sn", "Sn", "Cu", "Cu"],
  "fractional_positions": [[0.0000, 0.0000, 0.5000], [0.0000, 0.0000, 0.0000], [0.3769, 0.6231, 0.9246], [0.3769, 0.6231, 0.5754], [0.6231, 0.3769, 0.4246], [0.6231, 0.3769, 0.0754], [0.1050, 0.8950, 0.7500], [0.8950, 0.1050, 0.2500], [0.2047, 0.7953, 0.2500], [0.7953, 0.2047, 0.7500], [0.4761, 0.5239, 0.7500], [0.5239, 0.4761, 0.2500]]
}


Which final energy belongs to each record? In order, -0.128, -0.120, -0.140, -0.099, -0.164, -0.171, -0.150, -0.233, -0.202, -0.266, -0.150, -0.178 Ha/atom.
Which ρ belongs to each record? In order, 11.6, 7.7, 4.8, 4.5, 6.0, 9.1, 9.2, 7.7, 11.7, 9.7, 7.7, 6.1 g/cm3.